Arrangement A

Computed, not measured: a relaxed VCuAg3 crystal at the GGA-PBE level of DFT.

```
VCuAg3
1.0
-2.1107 -3.1763 -3.1698
3.9224 0.3956 -3.0082
2.1797 -3.7876 2.3440
Ag Cu V
3 1 1
direct
0.0000 0.5000 0.0000
0.0000 0.0000 0.5000
0.5000 0.0000 0.0000
0.5000 0.5000 0.5000
0.0000 0.0000 0.0000
```

=====

Arrangement B

Computed, not measured: a relaxed VCuAg3 crystal at the GGA-PBE level of DFT.

```
VCuAg3
1.0
4.7435 0.0000 0.0000
0.0000 4.7435 0.0000
0.0000 0.0000 4.7435
Ag Cu V
3 1 1
direct
0.0000 0.5000 0.0000
0.0000 0.0000 0.5000
0.5000 0.0000 0.0000
0.0000 0.0000 0.0000
0.5000 0.5000 0.5000
```

=====

Stability, descending: arrangement B, arrangement A

=====

Arrangement A

Computed, not measured: a relaxed V2Cu2Ag crystal at the GGA-PBE level of DFT.

```
V2Cu2Ag
1.0
7.1954 0.0000 0.0000
0.0000 7.1954 0.0000
0.0000 0.0000 2.7082
Ag Cu V
2 4 4
direct
0.0000 0.0000 0.0000
0.5000 0.5000 0.0000
0.3774 0.8774 0.0000
0.8774 0.6226 0.0000
0.6226 0.1226 0.0000
0.1226 0.3774 0.0000
0.1721 0.6721 0.5000
0.6721 0.8279 0.5000
0.8279 0.3279 0.5000
0.3279 0.1721 0.5000
```

=====

Arrangement B

Computed, not measured: a relaxed V2Cu2Ag crystal at the GGA-PBE level of DFT.

```
V2Cu2Ag
1.0
-0.9651 3.8977 -6.2883
-2.6726 -6.0970 -3.3689
-2.3891 0.6292 0.7566
Ag Cu V
2 4 4
direct
0.0000 0.0000 0.0000
0.5000 0.5000 0.0000
0.1794 0.6794 0.5000
0.6794 0.8206 0.5000
0.8206 0.3206 0.5000
0.3206 0.1794 0.5000
0.3866 0.8866 0.0000
0.8866 0.6134 0.0000
0.6134 0.1134 0.0000
0.1134 0.3866 0.0000
```

=====

Stability, descending: arrangement A, arrangement B

=====

Arrangement A

Computed, not measured: a relaxed VCuAg2 crystal at the GGA-PBE level of DFT.

```
VCuAg2
1.0
-1.2679 -7.0955 0.8760
-0.7754 -0.7479 -7.1805
1.6262 -4.4237 -3.3859
Ag Cu V
4 2 2
direct
0.6485 0.1250 0.2500
0.1015 0.6250 0.2500
0.3750 0.3515 0.7500
0.8750 0.8985 0.7500
0.0000 0.0000 0.0000
0.7500 0.2500 0.5000
0.5000 0.5000 0.0000
0.2500 0.7500 0.5000
```

=====

Arrangement B

Computed, not measured: a relaxed VCuAg2 crystal at the GGA-PBE level of DFT.

```
VCuAg2
1.0
2.7345 0.0000 0.0000
1.3673 2.3682 0.0000
1.3673 0.7894 9.9161
Cu Ag V
1 2 1
direct
0.5000 0.5000 0.5000
0.0895 0.0895 0.7314
0.9105 0.9105 0.2686
0.0000 0.0000 0.0000
```

=====

Arrangement C

Computed, not measured: a relaxed VCuAg2 crystal at the GGA-PBE level of DFT.

```
VCuAg2
1.0
1.0306 3.3648 2.6941
-2.7916 1.1865 3.2314
1.0460 -0.7912 4.2335
Ag Cu V
2 1 1
direct
0.2500 0.2500 0.2500
0.7500 0.7500 0.7500
0.5000 0.5000 0.5000
0.0000 0.0000 0.0000
```

=====

Stability, descending: arrangement C, arrangement B, arrangement A